## La4Pm2Th (PBE)

Data for La4Pm2Th after structural relaxation.

## Properties
energy	-4.9513	eV per atom
Fermi-level density of states	1.525	states/eV per atom
spin magnetization	0.7	μB per formula unit
energy relative to the elements	281.7	meV per atom
SG	P-42m, No. 111

Cell: 3.573 8.332 8.332 Å, 90.00 90.00 90.00°
Site moments in Bohr magnetons follow the coordinates.
Atoms (fractional coordinates):
Pm (0.500, 0.000, 0.500)  -0.01
La (0.152, 0.296, 0.296)  0.03
La (0.848, 0.296, 0.704)  0.03
Pm (0.500, 0.500, 0.000)  -0.01
Th (0.000, 0.000, 0.000)  0.23
La (0.848, 0.704, 0.296)  0.03
La (0.152, 0.704, 0.704)  0.03

## La2Pm4Th3 (PBE)

Data for La2Pm4Th3 after structural relaxation.

## Properties
energy	-5.6007	eV per atom
Fermi-level density of states	1.997	states/eV per atom
spin magnetization	0.0	μB per formula unit
energy relative to the elements	79.0	meV per atom
SG	P3m1, No. 156

Cell: 3.609 3.609 27.383 Å, 90.00 90.00 120.00°
Atoms (fractional coordinates):
Th (0.000, 0.000, 0.983)
Pm (0.000, 0.000, 0.544)
La (0.667, 0.333, 0.874)
Pm (0.000, 0.000, 0.758)
Pm (0.667, 0.333, 0.432)
La (0.667, 0.333, 0.092)
Th (0.000, 0.000, 0.324)
Th (0.667, 0.333, 0.651)
Pm (0.667, 0.333, 0.218)

## LaPm3Th2 (PBE)

Data for LaPm3Th2 after structural relaxation.

## Properties
energy	-5.2374	eV per atom
Fermi-level density of states	2.265	states/eV per atom
spin magnetization	0.0	μB per formula unit
energy relative to the elements	432.4	meV per atom
SG	R-3m, No. 166

Cell: 7.654 7.654 7.654 Å, 101.88 101.88 101.88°
Atoms (fractional coordinates):
Pm (0.665, 0.165, 0.165)
Th (0.000, 0.000, 0.000)
Pm (0.165, 0.665, 0.165)
Th (0.500, 0.500, 0.000)
Pm (0.835, 0.335, 0.835)
Th (0.500, 0.000, 0.500)
La (0.666, 0.666, 0.666)
Pm (0.835, 0.835, 0.335)
Th (0.000, 0.500, 0.500)
La (0.334, 0.334, 0.334)
Pm (0.165, 0.165, 0.665)
Pm (0.335, 0.835, 0.835)

## La5Pm4Th (PBE)

Data for La5Pm4Th after structural relaxation.

## Properties
energy	-4.9665	eV per atom
Fermi-level density of states	1.692	states/eV per atom
spin magnetization	0.0	μB per formula unit
energy relative to the elements	139.5	meV per atom
SG	P-1, No. 2

Cell: 6.603 6.754 8.747 Å, 109.99 77.71 93.88°
Atoms (fractional coordinates):
Pm (0.687, 0.973, 0.317)
Pm (0.028, 0.709, 0.898)
Pm (0.972, 0.291, 0.102)
La (0.500, 0.500, 0.000)
Pm (0.313, 0.027, 0.683)
La (0.167, 0.813, 0.312)
La (0.833, 0.187, 0.688)
La (0.272, 0.370, 0.435)
Th (0.500, 0.000, 0.000)
La (0.728, 0.630, 0.565)

## LaPmTh2 (PBE)

Data for LaPmTh2 after structural relaxation.

## Properties
energy	-5.9334	eV per atom
Fermi-level density of states	1.614	states/eV per atom
spin magnetization	0.0	μB per formula unit
energy relative to the elements	196.0	meV per atom
SG	R-3m, No. 166

Cell: 3.532 3.532 12.729 Å, 82.03 82.03 60.00°
Atoms (fractional coordinates):
La (0.000, 0.000, 0.000)
Pm (0.500, 0.500, 0.500)
Th (0.088, 0.088, 0.737)
Th (0.912, 0.912, 0.263)

## La3Pm2Th (PBE)

Data for La3Pm2Th after structural relaxation.

## Properties
energy	-5.2492	eV per atom
Fermi-level density of states	1.903	states/eV per atom
spin magnetization	0.0	μB per formula unit
energy relative to the elements	34.7	meV per atom
SG	Imma, No. 74

Cell: 5.188 9.723 9.723 Å, 106.44 105.45 105.45°
Atoms (fractional coordinates):
La (0.008, 0.177, 0.340)
La (0.492, 0.660, 0.823)
Th (0.250, 0.579, 0.421)
Pm (0.250, 0.917, 0.083)
Th (0.750, 0.421, 0.579)
La (0.508, 0.340, 0.177)
Pm (0.250, 0.256, 0.744)
La (0.992, 0.823, 0.660)
Pm (0.750, 0.083, 0.917)
Pm (0.750, 0.744, 0.256)
La (0.500, 0.000, 0.500)
La (0.000, 0.500, 0.000)

What is the energy relative to the elements in the first record? 281.7 meV per atom